Below is an optimized crystal structure of ReNi2Se, with properties calculated at the GGA-PBEsol level.

Properties
The value obtained for the total DFT energy (no corrections) is -0.261 hartree per atom. For the uncorrected formation energy, the calculation gives 262.2 meV/atom.

Lattice parameters (Å, degrees): 4.282 4.282 4.533 100.04 100.04 38.97
Positions (direct):
Re 0.000 0.000 0.000
Ni 0.492 0.492 0.474
Ni 0.747 0.747 0.267
Se 0.254 0.254 0.725